Entry 1
## NbSnPd3 (PBE)

Data for a relaxed structure of NbSnPd3.

Calculated values
**Size of the total moment**: 0.000 μB/atom

Cell and atoms, written as extended XYZ:
```
5
Lattice="-4.807 -0.378 -0.046 0.151 -1.351 -4.626 0.350 -4.613 1.358" Properties=species:S:1:pos:R:3 pbc="T T T"
Pd 0.075 -0.675 -2.313
Pd 0.175 -2.307 0.679
Pd -2.403 -0.189 -0.023
Nb -2.153 -3.171 -1.657
Sn 0.000 0.000 0.000
```

***

Entry 2
## NbSnPd3 (PBE)

Data for a relaxed structure of NbSnPd3.

Calculated values
**Size of the total moment**: 0.000 μB/atom

Cell and atoms, written as extended XYZ:
```
10
Lattice="-0.930 2.706 -0.969 -3.418 2.247 4.830 5.888 4.514 6.859" Properties=species:S:1:pos:R:3 pbc="T T T"
Pd 1.801 6.108 7.847
Pd 1.195 2.245 2.425
Pd -0.506 6.240 5.790
Pd -1.832 2.950 2.604
Pd 4.828 5.402 7.669
Pd 2.572 4.819 3.512
Nb 1.505 8.290 9.531
Nb -2.857 5.016 4.603
Sn 0.024 4.141 4.125
Sn 2.971 4.212 6.146
```

***

The energy of each structure relative to the most stable one, in eV/atom, is as follows: entry 1 1.196; entry 2 0.000.